Ir2Ru | Alexandria | PBE | optimized geometry; polymorph energy (0 for the lowest one) = 535 meV per atom; M_tot = 0.00 μB per formula unit; DOS at the Fermi energy = 15.81 states/eV per cell; E_form = 0.500 eV per atom
1.0
5.0948 0.0000 0.0000
-2.5474 4.4123 0.0000
0.0000 0.0000 8.3024
Ir Ru
8 4
direct
0.0000 0.0000 0.0000 Ir
0.0000 0.0000 0.5000 Ir
0.1707 0.3413 0.2500 Ir
0.1707 0.8293 0.2500 Ir
0.3413 0.1707 0.7500 Ir
0.6587 0.8293 0.2500 Ir
0.8293 0.1707 0.7500 Ir
0.8293 0.6587 0.7500 Ir
0.3333 0.6667 0.5906 Ru
0.3333 0.6667 0.9094 Ru
0.6667 0.3333 0.0906 Ru
0.6667 0.3333 0.4094 Ru



Ir6Ru5 | Alexandria | PBE | optimized geometry; M_tot = 0.00 μB per formula unit; DOS at the Fermi energy = 11.12 states/eV per cell; E_form = 0.162 eV per atom
1.0
1.9028 -5.7393 0.0000
1.9028 5.7393 0.0000
0.0000 0.0000 7.5970
Ir Ru
6 5
direct
0.0000 0.0000 0.2491 Ir
0.0000 0.0000 0.7509 Ir
0.3346 0.6654 0.2485 Ir
0.3346 0.6654 0.7515 Ir
0.6654 0.3346 0.2485 Ir
0.6654 0.3346 0.7515 Ir
0.1688 0.8312 0.5000 Ru
0.1701 0.8299 0.0000 Ru
0.5000 0.5000 0.5000 Ru
0.8299 0.1701 0.0000 Ru
0.8312 0.1688 0.5000 Ru



IrRu4 | Alexandria | PBE | optimized geometry; polymorph energy (0 for the lowest one) = 1418 meV per atom; M_tot = 0.00 μB per formula unit; DOS at the Fermi energy = 9.97 states/eV per cell; E_form = 1.463 eV per atom
1.0
-2.8348 2.8348 2.8348
2.8348 -2.8348 2.8348
2.8348 2.8348 -2.8348
Ir Ru
1 4
direct
0.0000 0.0000 0.0000 Ir
0.0000 0.0000 0.5000 Ru
0.0000 0.5000 0.0000 Ru
0.5000 0.0000 0.0000 Ru
0.5000 0.5000 0.5000 Ru



Ir2Ru3 | Alexandria | PBE | optimized geometry; polymorph energy (0 for the lowest one) = 217 meV per atom; M_tot = 0.00 μB per formula unit; DOS at the Fermi energy = 17.11 states/eV per cell; E_form = 0.352 eV per atom
1.0
8.7289 0.0000 0.0000
0.0000 4.1912 0.0000
0.0000 0.0000 8.3403
Ir Ru
8 12
direct
0.0155 0.2500 0.1236 Ir
0.1871 0.2500 0.4337 Ir
0.3129 0.7500 0.9337 Ir
0.4845 0.7500 0.6236 Ir
0.5155 0.2500 0.3764 Ir
0.6871 0.2500 0.0663 Ir
0.8129 0.7500 0.5663 Ir
0.9845 0.7500 0.8764 Ir
0.0297 0.7500 0.3462 Ru
0.1734 0.2500 0.8513 Ru
0.1755 0.7500 0.6358 Ru
0.3245 0.2500 0.1358 Ru
0.3266 0.7500 0.3513 Ru
0.4703 0.2500 0.8462 Ru
0.5297 0.7500 0.1538 Ru
0.6734 0.2500 0.6487 Ru
0.6755 0.7500 0.8642 Ru
0.8245 0.2500 0.3642 Ru
0.8266 0.7500 0.1487 Ru
0.9703 0.2500 0.6538 Ru



IrRu4 | Alexandria | PBE | optimized geometry; polymorph energy (0 for the lowest one) = 254 meV per atom; M_tot = 0.00 μB per formula unit; DOS at the Fermi energy = 13.17 states/eV per cell; E_form = 0.300 eV per atom
1.0
4.7686 0.0000 0.0000
0.0000 4.7669 0.0000
-2.5374 0.0000 6.3859
Ir Ru
2 8
direct
0.0000 0.0000 0.0000 Ir
0.0000 0.5000 0.5000 Ir
0.2196 0.0614 0.4134 Ru
0.2196 0.4386 0.9134 Ru
0.4063 0.5857 0.3080 Ru
0.4063 0.9143 0.8080 Ru
0.5937 0.0857 0.1920 Ru
0.5937 0.4143 0.6920 Ru
0.7804 0.5614 0.0866 Ru
0.7804 0.9386 0.5866 Ru



Ir4Ru5 | Alexandria | PBE | optimized geometry; polymorph energy (0 for the lowest one) = 255 meV per atom; M_tot = 0.00 μB per formula unit; DOS at the Fermi energy = 26.52 states/eV per cell; E_form = 0.252 eV per atom
1.0
7.5029 0.0000 0.0000
-3.7514 6.4977 0.0000
0.0000 0.0000 5.3778
Ir Ru
8 10
direct
0.0000 0.0000 0.0000 Ir
0.0000 0.0000 0.5000 Ir
0.0000 0.3349 0.2500 Ir
0.0000 0.6651 0.7500 Ir
0.3349 0.0000 0.2500 Ir
0.3349 0.3349 0.7500 Ir
0.6651 0.0000 0.7500 Ir
0.6651 0.6651 0.2500 Ir
0.0000 0.3343 0.7500 Ru
0.0000 0.6657 0.2500 Ru
0.3333 0.6667 0.0000 Ru
0.3333 0.6667 0.5000 Ru
0.3343 0.0000 0.7500 Ru
0.3343 0.3343 0.2500 Ru
0.6657 0.0000 0.2500 Ru
0.6657 0.6657 0.7500 Ru
0.6667 0.3333 0.0000 Ru
0.6667 0.3333 0.5000 Ru



Q: Among the records above, which one has the lowest DOS at the Fermi energy?
A: number 3



Q: Which of these has the lowest DOS at the Fermi energy?
A: number 3